Computed, not measured: Ac2MnTl3S6 after structural relaxation at the PBE level of DFT. Values from VASP.

```
&SYSTEM
  ibrav = 0, nat = 12, ntyp = 4
/
ATOMIC_SPECIES
Ac 227.00 Ac.upf
Mn 54.94 Mn.upf
Tl 204.38 Tl.upf
S 32.06 S.upf
ATOMIC_POSITIONS crystal
Ac 0.165 0.835 0.000
Ac 0.835 0.165 0.000
Mn 0.500 0.500 0.000
Tl 0.000 0.000 0.500
Tl 0.335 0.665 0.500
Tl 0.665 0.335 0.500
S 0.158 0.435 0.818
S 0.253 0.253 0.239
S 0.435 0.158 0.818
S 0.565 0.842 0.182
S 0.747 0.747 0.761
S 0.842 0.565 0.182
CELL_PARAMETERS angstrom
3.708 -6.156 0.000
3.708 6.156 0.000
-2.603 0.000 7.451
```

Results
For the total energy, the calculation gives -5.19 eV/atom. The calculation puts the formation energy from raw total energies at -13.08 eV/f.u. Its space group is C2/m (12).